This record from Alexandria describes a geometry-optimized KCo2PbF8 structure. The functional is PBE+U.

Values from the calculation:
As for the space group: No. 164. The calculation puts the density of states at the Fermi level at 14.6 states/eV/f.u. Its total energy is -4.64 eV/atom.

Geometry as POSCAR:
```
KCo2PbF8
1.0
6.104 0.000 0.000
-3.052 5.286 0.000
0.000 0.000 7.738
Pb F Co K
1 8 2 1
direct
0.000 0.000 0.500 Pb
0.326 0.162 0.263 F
0.836 0.674 0.263 F
0.667 0.333 0.568 F
0.674 0.838 0.737 F
0.162 0.836 0.737 F
0.838 0.164 0.263 F
0.333 0.667 0.432 F
0.164 0.326 0.737 F
0.667 0.333 0.331 Co
0.333 0.667 0.669 Co
0.000 0.000 0.000 K
```